# 1
Density functional theory data (meta-GGA SCAN) for a PBEsol-optimized structure of Zn6Sb5.

Space-group type: R-3c (167)

abc: 8.055 8.055 8.055
angles: 96.95 96.95 96.95
Fractional coordinates of all 22 atoms:
Zn (0.017, 0.343, 0.936)
Zn (0.064, 0.983, 0.657)
Zn (0.157, 0.483, 0.564)
Zn (0.343, 0.936, 0.017)
Zn (0.436, 0.843, 0.517)
Zn (0.483, 0.564, 0.157)
Zn (0.517, 0.436, 0.843)
Zn (0.564, 0.157, 0.483)
Zn (0.657, 0.064, 0.983)
Zn (0.843, 0.517, 0.436)
Zn (0.936, 0.017, 0.343)
Zn (0.983, 0.657, 0.064)
Sb (0.108, 0.750, 0.392)
Sb (0.134, 0.134, 0.134)
Sb (0.250, 0.608, 0.892)
Sb (0.366, 0.366, 0.366)
Sb (0.392, 0.108, 0.750)
Sb (0.608, 0.892, 0.250)
Sb (0.634, 0.634, 0.634)
Sb (0.750, 0.392, 0.108)
Sb (0.866, 0.866, 0.866)
Sb (0.892, 0.250, 0.608)



# 2
Density functional theory data (meta-GGA SCAN) for a PBEsol-optimized structure of Zn3Sb.

Space-group type: Cmmm (65)

abc: 4.919 4.919 3.267
angles: 90.00 90.00 112.70
Fractional coordinates of all 4 atoms:
Zn (0.000, 0.000, 0.000)
Zn (0.000, 0.500, 0.500)
Zn (0.500, 0.000, 0.500)
Sb (0.500, 0.500, 0.000)



# 3
Density functional theory data (meta-GGA SCAN) for a PBEsol-optimized structure of Zn5Sb.

Space-group type: P-62m (189)

abc: 5.317 5.317 4.132
angles: 90.00 90.00 120.00
Fractional coordinates of all 6 atoms:
Zn (0.000, 0.580, 0.000)
Zn (0.333, 0.667, 0.500)
Zn (0.420, 0.420, 0.000)
Zn (0.580, 0.000, 0.000)
Zn (0.667, 0.333, 0.500)
Sb (0.000, 0.000, 0.500)



# 4
Density functional theory data (meta-GGA SCAN) for a PBEsol-optimized structure of ZnSb3.

Space-group type: Fm-3m (225)

abc: 5.136 5.136 5.136
angles: 60.00 60.00 60.00
Fractional coordinates of all 4 atoms:
Zn (0.000, 0.000, 0.000)
Sb (0.250, 0.250, 0.250)
Sb (0.500, 0.500, 0.500)
Sb (0.750, 0.750, 0.750)



# 5
Density functional theory data (meta-GGA SCAN) for a PBEsol-optimized structure of Zr5ZnSb3.

Space-group type: P6_3/mcm (193)

abc: 8.543 8.543 5.789
angles: 90.00 90.00 120.00
Fractional coordinates of all 18 atoms:
Zr (0.000, 0.269, 0.250)
Zr (0.000, 0.731, 0.750)
Zr (0.269, 0.000, 0.250)
Zr (0.269, 0.269, 0.750)
Zr (0.333, 0.667, 0.000)
Zr (0.333, 0.667, 0.500)
Zr (0.667, 0.333, 0.000)
Zr (0.667, 0.333, 0.500)
Zr (0.731, 0.000, 0.750)
Zr (0.731, 0.731, 0.250)
Zn (0.000, 0.000, 0.000)
Zn (0.000, 0.000, 0.500)
Sb (0.000, 0.385, 0.750)
Sb (0.000, 0.615, 0.250)
Sb (0.385, 0.000, 0.750)
Sb (0.385, 0.385, 0.250)
Sb (0.615, 0.000, 0.250)
Sb (0.615, 0.615, 0.750)



# 6
Density functional theory data (meta-GGA SCAN) for a PBEsol-optimized structure of Zr2ZnSb.

Space-group type: P4/mmm (123)

abc: 3.600 3.600 6.127
angles: 90.00 90.00 90.00
Fractional coordinates of all 4 atoms:
Zr (0.000, 0.000, 0.246)
Zr (0.000, 0.000, 0.754)
Zn (0.500, 0.500, 0.000)
Sb (0.500, 0.500, 0.500)



# 7
Density functional theory data (meta-GGA SCAN) for a PBEsol-optimized structure of ZrZnSb.

Space-group type: F-43m (216)

abc: 4.502 4.502 4.502
angles: 60.00 60.00 60.00
Fractional coordinates of all 3 atoms:
Zr (0.000, 0.000, 0.000)
Zn (0.750, 0.750, 0.750)
Sb (0.500, 0.500, 0.500)



# 8
Density functional theory data (meta-GGA SCAN) for a PBEsol-optimized structure of ZrZnSb.

Space-group type: P3m1 (156)

abc: 3.204 3.204 7.092
angles: 90.00 90.00 120.00
Fractional coordinates of all 3 atoms:
Zr (0.000, 0.000, 0.000)
Zn (0.667, 0.333, 0.316)
Sb (0.333, 0.667, 0.657)



# 9
Density functional theory data (meta-GGA SCAN) for a PBEsol-optimized structure of Zr2ZnSb.

Space-group type: C2/m (12)

abc: 4.945 4.945 3.335
angles: 90.17 90.17 104.12
Fractional coordinates of all 4 atoms:
Zr (0.000, 0.500, 0.000)
Zr (0.500, 0.000, 0.000)
Zn (0.000, 0.000, 0.500)
Sb (0.500, 0.500, 0.500)



# 10
Density functional theory data (meta-GGA SCAN) for a PBEsol-optimized structure of Zr2ZnSb.

Space-group type: P2/m (10)

abc: 3.245 4.000 6.146
angles: 90.00 96.20 90.00
Fractional coordinates of all 4 atoms:
Zr (0.017, 0.000, 0.240)
Zr (0.983, 0.000, 0.760)
Zn (0.500, 0.500, 0.000)
Sb (0.500, 0.500, 0.500)



# 11
Density functional theory data (meta-GGA SCAN) for a PBEsol-optimized structure of Zr5Sb3.

Excess energy over the best structure of this formula in the dataset: 26 meV per atom
Space-group type: I4/mcm (140)

abc: 8.322 8.322 8.322
angles: 96.54 96.54 140.55
Fractional coordinates of all 16 atoms:
Zr (0.077, 0.779, 0.855)
Zr (0.221, 0.077, 0.298)
Zr (0.250, 0.750, 0.500)
Zr (0.279, 0.577, 0.855)
Zr (0.423, 0.279, 0.702)
Zr (0.577, 0.721, 0.298)
Zr (0.721, 0.423, 0.145)
Zr (0.750, 0.250, 0.500)
Zr (0.779, 0.923, 0.702)
Zr (0.923, 0.221, 0.145)
Sb (0.164, 0.336, 0.500)
Sb (0.250, 0.250, 0.000)
Sb (0.336, 0.836, 0.172)
Sb (0.664, 0.164, 0.828)
Sb (0.750, 0.750, 0.000)
Sb (0.836, 0.664, 0.500)



# 12
Density functional theory data (meta-GGA SCAN) for a PBEsol-optimized structure of Zr3Sb.

Space-group type: Pm-3m (221)

abc: 5.335 5.335 5.335
angles: 90.00 90.00 90.00
Fractional coordinates of all 4 atoms:
Zr (0.000, 0.000, 0.500)
Zr (0.000, 0.500, 0.000)
Zr (0.500, 0.000, 0.000)
Sb (0.000, 0.000, 0.000)



# 13
Density functional theory data (meta-GGA SCAN) for a PBEsol-optimized structure of Zr3Sb.

Space-group type: P6_3/mmc (194)

abc: 6.226 6.226 10.146
angles: 90.00 90.00 120.00
Fractional coordinates of all 16 atoms:
Zr (0.000, 0.500, 0.000)
Zr (0.000, 0.500, 0.500)
Zr (0.166, 0.332, 0.250)
Zr (0.166, 0.834, 0.250)
Zr (0.332, 0.166, 0.750)
Zr (0.500, 0.000, 0.000)
Zr (0.500, 0.000, 0.500)
Zr (0.500, 0.500, 0.000)
Zr (0.500, 0.500, 0.500)
Zr (0.668, 0.834, 0.250)
Zr (0.834, 0.166, 0.750)
Zr (0.834, 0.668, 0.750)
Sb (0.000, 0.000, 0.000)
Sb (0.000, 0.000, 0.500)
Sb (0.333, 0.667, 0.750)
Sb (0.667, 0.333, 0.250)



# 14
Density functional theory data (meta-GGA SCAN) for a PBEsol-optimized structure of Zr3Sb.

Space-group type: I-4 (82)

abc: 8.454 8.454 8.454
angles: 96.38 96.38 141.05
Fractional coordinates of all 16 atoms:
Zr (0.049, 0.019, 0.598)
Zr (0.107, 0.292, 0.974)
Zr (0.318, 0.132, 0.026)
Zr (0.383, 0.048, 0.382)
Zr (0.421, 0.451, 0.402)
Zr (0.549, 0.951, 0.970)
Zr (0.666, 0.001, 0.618)
Zr (0.708, 0.682, 0.814)
Zr (0.868, 0.893, 0.186)
Zr (0.952, 0.334, 0.334)
Zr (0.981, 0.579, 0.030)
Zr (0.999, 0.617, 0.666)
Sb (0.239, 0.494, 0.677)
Sb (0.438, 0.761, 0.255)
Sb (0.506, 0.183, 0.745)
Sb (0.817, 0.562, 0.323)



# 15
Density functional theory data (meta-GGA SCAN) for a PBEsol-optimized structure of Zr3Sb.

Space-group type: Pnma (62)

abc: 6.748 9.128 5.810
angles: 90.00 90.00 90.00
Fractional coordinates of all 16 atoms:
Zr (0.017, 0.250, 0.126)
Zr (0.209, 0.031, 0.621)
Zr (0.209, 0.469, 0.621)
Zr (0.291, 0.531, 0.121)
Zr (0.291, 0.969, 0.121)
Zr (0.483, 0.750, 0.626)
Zr (0.517, 0.250, 0.374)
Zr (0.709, 0.031, 0.879)
Zr (0.709, 0.469, 0.879)
Zr (0.791, 0.531, 0.379)
Zr (0.791, 0.969, 0.379)
Zr (0.983, 0.750, 0.874)
Sb (0.096, 0.750, 0.395)
Sb (0.404, 0.250, 0.895)
Sb (0.596, 0.750, 0.105)
Sb (0.904, 0.250, 0.605)



# 16
Density functional theory data (meta-GGA SCAN) for a PBEsol-optimized structure of ZrSb3.

Excess energy over the best structure of this formula in the dataset: 258 meV per atom
Space-group type: Pm-3m (221)

abc: 4.596 4.596 4.596
angles: 90.00 90.00 90.00
Fractional coordinates of all 4 atoms:
Zr (0.000, 0.000, 0.000)
Sb (0.000, 0.500, 0.500)
Sb (0.500, 0.000, 0.500)
Sb (0.500, 0.500, 0.000)



# 17
Density functional theory data (meta-GGA SCAN) for a PBEsol-optimized structure of ZrSb2.

Space-group type: Pnnm (58)

abc: 9.927 14.896 3.875
angles: 90.00 90.00 90.00
Fractional coordinates of all 24 atoms:
Zr (0.022, 0.249, 0.000)
Zr (0.169, 0.993, 0.000)
Zr (0.331, 0.493, 0.500)
Zr (0.478, 0.749, 0.500)
Zr (0.522, 0.251, 0.500)
Zr (0.669, 0.507, 0.500)
Zr (0.831, 0.007, 0.000)
Zr (0.978, 0.751, 0.000)
Sb (0.012, 0.103, 0.500)
Sb (0.116, 0.442, 0.000)
Sb (0.160, 0.656, 0.500)
Sb (0.231, 0.301, 0.500)
Sb (0.269, 0.801, 0.000)
Sb (0.340, 0.156, 0.000)
Sb (0.384, 0.942, 0.500)
Sb (0.488, 0.603, 0.000)
Sb (0.512, 0.397, 0.000)
Sb (0.616, 0.058, 0.500)
Sb (0.660, 0.844, 0.000)
Sb (0.731, 0.199, 0.000)
Sb (0.769, 0.699, 0.500)
Sb (0.840, 0.344, 0.500)
Sb (0.884, 0.558, 0.000)
Sb (0.988, 0.897, 0.500)



# 18
Density functional theory data (meta-GGA SCAN) for a PBEsol-optimized structure of ZrSb2.

Space-group type: P6_3/mmc (194)

abc: 5.261 5.261 5.883
angles: 90.00 90.00 120.00
Fractional coordinates of all 6 atoms:
Zr (0.333, 0.667, 0.250)
Zr (0.667, 0.333, 0.750)
Sb (0.000, 0.000, 0.000)
Sb (0.000, 0.000, 0.500)
Sb (0.333, 0.667, 0.750)
Sb (0.667, 0.333, 0.250)



# 19
Density functional theory data (meta-GGA SCAN) for a PBEsol-optimized structure of ZrSb8.

Space-group type: I4/mmm (139)

abc: 8.077 8.077 8.077
angles: 93.26 93.26 152.43
Fractional coordinates of all 9 atoms:
Zr (0.000, 0.000, 0.000)
Sb (0.000, 0.301, 0.301)
Sb (0.000, 0.699, 0.699)
Sb (0.301, 0.000, 0.301)
Sb (0.342, 0.342, 0.685)
Sb (0.342, 0.658, 0.000)
Sb (0.658, 0.342, 0.000)
Sb (0.658, 0.658, 0.315)
Sb (0.699, 0.000, 0.699)



# 20
Density functional theory data (meta-GGA SCAN) for a PBEsol-optimized structure of ZrSb2.

Space-group type: Cmc2_1 (36)

abc: 5.596 5.596 7.233
angles: 90.00 90.00 139.81
Fractional coordinates of all 6 atoms:
Zr (0.098, 0.902, 0.500)
Zr (0.902, 0.098, 0.000)
Sb (0.193, 0.807, 0.891)
Sb (0.441, 0.559, 0.688)
Sb (0.559, 0.441, 0.188)
Sb (0.807, 0.193, 0.391)



# 21
Density functional theory data (meta-GGA SCAN) for a PBEsol-optimized structure of Zr5Sb3.

Excess energy over the best structure of this formula in the dataset: 2 meV per atom
Space-group type: Pnma (62)

abc: 10.712 8.784 7.502
angles: 90.00 90.00 90.00
Fractional coordinates of all 32 atoms:
Zr (0.003, 0.250, 0.026)
Zr (0.052, 0.056, 0.699)
Zr (0.052, 0.444, 0.699)
Zr (0.212, 0.750, 0.325)
Zr (0.232, 0.250, 0.318)
Zr (0.268, 0.750, 0.818)
Zr (0.288, 0.250, 0.825)
Zr (0.448, 0.556, 0.199)
Zr (0.448, 0.944, 0.199)
Zr (0.497, 0.750, 0.526)
Zr (0.503, 0.250, 0.474)
Zr (0.552, 0.056, 0.801)
Zr (0.552, 0.444, 0.801)
Zr (0.712, 0.750, 0.175)
Zr (0.732, 0.250, 0.182)
Zr (0.768, 0.750, 0.682)
Zr (0.788, 0.250, 0.675)
Zr (0.948, 0.556, 0.301)
Zr (0.948, 0.944, 0.301)
Zr (0.997, 0.750, 0.974)
Sb (0.027, 0.750, 0.591)
Sb (0.179, 0.507, 0.064)
Sb (0.179, 0.993, 0.064)
Sb (0.321, 0.007, 0.564)
Sb (0.321, 0.493, 0.564)
Sb (0.473, 0.250, 0.091)
Sb (0.527, 0.750, 0.909)
Sb (0.679, 0.507, 0.436)
Sb (0.679, 0.993, 0.436)
Sb (0.821, 0.007, 0.936)
Sb (0.821, 0.493, 0.936)
Sb (0.973, 0.250, 0.409)



# 22
Density functional theory data (meta-GGA SCAN) for a PBEsol-optimized structure of ZrSb2.

Space-group type: I4/mmm (139)

abc: 5.434 5.434 5.434
angles: 139.44 139.44 58.70
Fractional coordinates of all 3 atoms:
Zr (0.000, 0.000, 0.000)
Sb (0.341, 0.341, 0.000)
Sb (0.659, 0.659, 0.000)



| no. | DOS(E_F) (states/eV/atom) | formation energy (no corrections) (eV/atom) | DFT total energy (eV per atom) |
| --- | --- | --- | --- |
| 1 | 0.44 | 0.000 | -24.31 |
| 2 | 0.29 | 0.244 | -19.21 |
| 3 | 0.30 | 0.164 | -17.31 |
| 4 | 0.70 | 0.319 | -31.01 |
| 5 | 0.37 | -0.837 | -31.81 |
| 6 | 0.78 | -0.464 | -28.51 |
| 7 | 0.89 | 0.077 | -27.08 |
| 8 | 0.74 | -0.061 | -27.22 |
| 9 | 0.61 | -0.445 | -28.49 |
| 10 | 0.65 | -0.451 | -28.49 |
| 11 | 0.82 | -0.752 | -33.91 |
| 12 | 2.34 | 1.432 | -30.91 |
| 13 | 1.01 | -0.474 | -32.81 |
| 14 | 0.69 | -0.577 | -32.92 |
| 15 | 1.00 | -0.520 | -32.86 |
| 16 | 0.78 | 0.045 | -35.58 |
| 17 | 0.22 | -0.626 | -35.70 |
| 18 | 0.35 | -0.262 | -35.34 |
| 19 | 0.66 | -0.001 | -36.53 |
| 20 | 0.29 | -0.390 | -35.46 |
| 21 | 0.58 | -0.777 | -33.94 |
| 22 | 0.46 | -0.581 | -35.65 |